[1]
! CrCdGaAg2, relaxed, DFT PBE; values from VASP
! Space group = P4/mmm, No. 123
! Calculated formation energy = 927 meV per atom
! Total magnetization = 0.9697 μB/atom
! Density of states at the Fermi level = 1.84 states/eV per cell
! Total energy = -2.926 eV/atom
! V = 131.54 Å³ per cell
&SYSTEM
  ibrav = 0, nat = 5, ntyp = 4
/
ATOMIC_SPECIES
Cr 52.00 Cr.upf
Ga 69.72 Ga.upf
Ag 107.87 Ag.upf
Cd 112.41 Cd.upf
CELL_PARAMETERS angstrom
5.183 0.000 0.000
0.000 5.183 0.000
0.000 0.000 4.896
ATOMIC_POSITIONS angstrom
Cr 2.592 2.592 2.448
Ga 0.000 0.000 2.448
Ag 0.000 2.592 0.000
Ag 2.592 0.000 0.000
Cd 0.000 0.000 0.000

***

[2]
! CrCdAgGe2, relaxed, DFT PBE; values from VASP
! Space group = P4/mmm, No. 123
! Calculated formation energy = 1565 meV per atom
! Total magnetization = 0.1201 μB/atom
! Density of states at the Fermi level = 6.69 states/eV per cell
! Total energy = -2.960 eV/atom
! V = 127.64 Å³ per cell
&SYSTEM
  ibrav = 0, nat = 5, ntyp = 4
/
ATOMIC_SPECIES
Cr 52.00 Cr.upf
Ge 72.64 Ge.upf
Ag 107.87 Ag.upf
Cd 112.41 Cd.upf
CELL_PARAMETERS angstrom
-1.804 -2.837 3.750
4.693 -0.834 1.626
-0.294 4.073 2.939
ATOMIC_POSITIONS angstrom
Cr 1.298 0.201 4.158
Ge 2.347 -0.417 0.813
Ge -0.902 -1.418 1.875
Ag -0.147 2.037 1.470
Cd 0.000 0.000 0.000

***

[3]
! CrCdAgGe2, relaxed, DFT PBE; values from VASP
! Space group = P4/mmm, No. 123
! Calculated formation energy = 834 meV per atom
! Total magnetization = 0.9222 μB/atom
! Density of states at the Fermi level = 2.23 states/eV per cell
! Total energy = -3.691 eV/atom
! V = 124.66 Å³ per cell
&SYSTEM
  ibrav = 0, nat = 5, ntyp = 4
/
ATOMIC_SPECIES
Cr 52.00 Cr.upf
Ge 72.64 Ge.upf
Ag 107.87 Ag.upf
Cd 112.41 Cd.upf
CELL_PARAMETERS angstrom
-2.549 4.199 -0.054
-0.748 -0.389 5.097
4.138 2.523 0.800
ATOMIC_POSITIONS angstrom
Cr -0.374 -0.194 2.548
Ge 2.069 1.261 0.400
Ge -1.275 2.099 -0.027
Ag 0.000 0.000 0.000
Cd 0.420 3.166 2.921

***

[4]
! NbCr2CdAg, relaxed, DFT PBE; values from VASP
! Space group = P4/mmm, No. 123
! Calculated formation energy = 1327 meV per atom
! Total magnetization = 0.9459 μB/atom
! Density of states at the Fermi level = 3.69 states/eV per cell
! Total energy = -5.290 eV/atom
! V = 113.16 Å³ per cell
&SYSTEM
  ibrav = 0, nat = 5, ntyp = 4
/
ATOMIC_SPECIES
Cr 52.00 Cr.upf
Nb 92.91 Nb.upf
Ag 107.87 Ag.upf
Cd 112.41 Cd.upf
CELL_PARAMETERS angstrom
-2.870 -3.597 0.598
3.761 -3.276 -1.656
1.506 -0.476 4.363
ATOMIC_POSITIONS angstrom
Cr 0.753 -0.238 2.181
Cr -1.435 -1.798 0.299
Nb 0.000 0.000 0.000
Ag 1.881 -1.638 -0.828
Cd 1.199 -3.675 1.652